The following is a GGA-PBE calculation of a geometry-optimized Pm4Ag3Pb structure, from the Alexandria database.

Output
As for the energy relative to the elements: -0.301 eV/atom. The calculation puts the calculated total energy at -4.209 eV per atom. The distance to the lowest polymorph of the same formula comes out at 28 meV/atom.

abc: 3.906 4.890 11.665
angles: 90.00 90.00 90.00
Sites, in units of the cell vectors:
Pm 0.000 0.000 0.000
Pm 0.000 0.500 0.275
Pm 0.500 0.000 0.480
Pm 0.500 0.500 0.788
Ag 0.000 0.500 0.549
Ag 0.500 0.000 0.211
Ag 0.500 0.500 0.062
Pb 0.000 0.000 0.718